Entry 1:
## RbNa2SbPd (GGA-PBE)

Data for a relaxed RbNa2SbPd crystal.

Cell: 5.8637 5.8637 5.1879 Å, 90.00 90.00 90.00°
Closest atoms and distances in Å follow each position.
Space group P4/mmm (No. 123)
One atom of each set of equivalent atoms:
Rb  0.0000  0.0000  0.0000 x1  8 Na 3.91, 4 Pd 4.15
Na  0.0000  0.5000  0.5000 x2  2 Sb 2.93
Sb  0.5000  0.5000  0.5000 x1  2 Pd 2.59
Pd  0.5000  0.5000  0.0000 x1  2 Sb 2.59

Results
Energy above the lowest structure with this stoichiometry (meV per atom): 81

=====

Entry 2:
## Rb2NaPdSe2 (GGA-PBE)

Data for a relaxed Rb2NaPdSe2 crystal.

Cell: 6.7690 15.4940 6.7578 Å, 90.00 90.00 90.00°
Closest atoms and distances in Å follow each position.
Space group Ibam (No. 72)
One atom of each set of equivalent atoms:
Rb  0.2432  0.1697  0.0000 x8  5 Se 3.39-3.77, 2 Pd 3.53, 2 Na 3.58
Na  0.0000  0.5000  0.2500 x4  4 Se 2.90
Pd  0.0000  0.0000  0.2500 x4  4 Se 2.71
Se  0.2267  0.0945  0.5000 x8  2 Pd 2.71, 2 Na 2.90

Results
E (eV per atom): -3.304

=====

Entry 3:
## RbNa2SiPd (GGA-PBE)

Data for a relaxed RbNa2SiPd crystal.

Cell: 5.6290 5.6290 4.6691 Å, 90.00 90.00 90.00°
Closest atoms and distances in Å follow each position.
Space group P4/mmm (No. 123)
One atom of each set of equivalent atoms:
Rb  0.0000  0.0000  0.0000 x1  8 Na 3.66, 4 Si 3.98
Na  0.0000  0.5000  0.5000 x2  2 Pd 2.81
Si  0.5000  0.5000  0.0000 x1  2 Pd 2.33
Pd  0.5000  0.5000  0.5000 x1  2 Si 2.33

Results
E (eV per atom): -2.937

=====

Entry 4:
## RbNa2SnPd (GGA-PBE)

Data for a relaxed RbNa2SnPd crystal.

Cell: 5.9237 5.9237 5.1564 Å, 90.00 90.00 90.00°
Closest atoms and distances in Å follow each position.
Space group P4/mmm (No. 123)
One atom of each set of equivalent atoms:
Rb  0.0000  0.0000  0.0000 x1  8 Na 3.93, 4 Pd 4.19
Na  0.0000  0.5000  0.5000 x2  2 Sn 2.96
Sn  0.5000  0.5000  0.5000 x1  2 Pd 2.58
Pd  0.5000  0.5000  0.0000 x1  2 Sn 2.58

Results
Energy above the lowest structure with this stoichiometry (meV per atom): 142

=====

Entry 5:
## RbNaSn2Pd (GGA-PBE)

Data for a relaxed RbNaSn2Pd crystal.

Cell: 5.2534 5.2534 5.7056 Å, 90.00 90.00 90.00°
Closest atoms and distances in Å follow each position.
Space group P4/mmm (No. 123)
One atom of each set of equivalent atoms:
Rb  0.0000  0.0000  0.0000 x1  4 Na 3.71, 8 Sn 3.88
Na  0.5000  0.5000  0.0000 x1  2 Pd 2.85
Sn  0.0000  0.5000  0.5000 x2  2 Pd 2.63
Pd  0.5000  0.5000  0.5000 x1  4 Sn 2.63, 2 Na 2.85

Results
E (eV per atom): -3.272

=====

Entry 6:
## RbNa2SnPd (GGA-PBE)

Data for a relaxed RbNa2SnPd crystal.

Cell: 5.6848 5.6848 5.1496 Å, 90.00 90.00 90.00°
Closest atoms and distances in Å follow each position.
Space group P4/mmm (No. 123)
One atom of each set of equivalent atoms:
Rb  0.0000  0.0000  0.0000 x1  8 Na 3.84, 4 Sn 4.02
Na  0.0000  0.5000  0.5000 x2  2 Pd 2.84
Sn  0.5000  0.5000  0.0000 x1  2 Pd 2.57
Pd  0.5000  0.5000  0.5000 x1  2 Sn 2.57, 4 Na 2.84

Results
Energy above the lowest structure with this stoichiometry (meV per atom): 0

=====

Entry 7:
## RbNaSr2Pd (GGA-PBE)

Data for a relaxed RbNaSr2Pd crystal.

Cell: 5.9939 5.9939 6.7496 Å, 90.00 90.00 90.00°
Closest atoms and distances in Å follow each position.
Space group P4/mmm (No. 123)
One atom of each set of equivalent atoms:
Rb  0.0000  0.0000  0.0000 x1  2 Pd 3.37
Na  0.5000  0.5000  0.0000 x1  4 Rb 4.24, 8 Sr 4.51
Sr  0.0000  0.5000  0.5000 x2  2 Pd 3.00
Pd  0.0000  0.0000  0.5000 x1  4 Sr 3.00

Results
Energy above the lowest structure with this stoichiometry (meV per atom): 27

=====

Entry 8:
## RbNaSr2Pd (GGA-PBE)

Data for a relaxed RbNaSr2Pd crystal.

Cell: 6.0021 6.0021 6.3142 Å, 90.00 90.00 90.00°
Closest atoms and distances in Å follow each position.
Space group P4/mmm (No. 123)
One atom of each set of equivalent atoms:
Rb  0.0000  0.0000  0.0000 x1  4 Na 4.24, 8 Sr 4.36
Na  0.5000  0.5000  0.0000 x1  2 Pd 3.16
Sr  0.0000  0.5000  0.5000 x2  2 Pd 3.00
Pd  0.5000  0.5000  0.5000 x1  4 Sr 3.00, 2 Na 3.16

Results
Energy above the lowest structure with this stoichiometry (meV per atom): 0

=====

Entry 9:
## RbNa2SrPd (GGA-PBE)

Data for a relaxed RbNa2SrPd crystal.

Cell: 6.0212 6.0212 5.7857 Å, 90.00 90.00 90.00°
Closest atoms and distances in Å follow each position.
Space group P4/mmm (No. 123)
One atom of each set of equivalent atoms:
Rb  0.0000  0.0000  0.0000 x1  8 Na 4.18, 4 Sr 4.26
Na  0.0000  0.5000  0.5000 x2  2 Pd 3.01
Sr  0.5000  0.5000  0.0000 x1  2 Pd 2.89
Pd  0.5000  0.5000  0.5000 x1  2 Sr 2.89, 4 Na 3.01

Results
E (eV per atom): -2.146

=====

Entry 10:
## RbNa2TcPd (GGA-PBE)

Data for a relaxed RbNa2TcPd crystal.

Cell: 5.7998 5.7998 4.8206 Å, 90.00 90.00 90.00°
Closest atoms and distances in Å follow each position.
Space group P4/mmm (No. 123)
One atom of each set of equivalent atoms:
Rb  0.0000  0.0000  0.0000 x1  8 Na 3.77, 4 Pd 4.10
Na  0.0000  0.5000  0.5000 x2  2 Tc 2.90
Tc  0.5000  0.5000  0.5000 x1  2 Pd 2.41
Pd  0.5000  0.5000  0.0000 x1  2 Tc 2.41

Results
E (eV per atom): -3.015

=====

Entry 11:
## RbNa2TiPd (GGA-PBE)

Data for a relaxed RbNa2TiPd crystal.

Cell: 5.5696 5.5696 6.1466 Å, 90.00 90.00 90.00°
Closest atoms and distances in Å follow each position.
Space group P4/mmm (No. 123)
One atom of each set of equivalent atoms:
Rb  0.0000  0.0000  0.0000 x1  2 Pd 3.07
Na  0.0000  0.5000  0.5000 x2  2 Pd 2.78
Ti  0.5000  0.5000  0.0000 x1  4 Rb 3.94, 8 Na 4.15
Pd  0.0000  0.0000  0.5000 x1  4 Na 2.78, 2 Rb 3.07

Results
E (eV per atom): -2.485

=====

Entry 12:
## Rb2NaTl12Pd3 (GGA-PBE)

Data for a relaxed Rb2NaTl12Pd3 crystal.

Cell: 9.9553 9.9553 21.2701 Å, 90.00 90.00 120.00°
Closest atoms and distances in Å follow each position.
Space group R-3m (No. 166, hexagonal axes)
One atom of each set of equivalent atoms:
Rb  0.0000  0.0000  0.0807 x6  1 Rb 3.43, 6 Tl 3.50-3.66
Na  0.0000  0.0000  0.5000 x3  12 Tl 3.47-3.53
Tl  0.0657  0.5328  0.8710 x18  1 Pd 2.80
Tl  0.0792  0.5396  0.2934 x18  2 Pd 2.74
Pd  0.0000  0.5000  0.0000 x9  6 Tl 2.74-2.80

Results
E (eV per atom): -2.605

=====

Entry 13:
## RbNa2TlPd (GGA-PBE)

Data for a relaxed RbNa2TlPd crystal.

Cell: 5.7148 5.7148 5.3454 Å, 90.00 90.00 90.00°
Closest atoms and distances in Å follow each position.
Space group P4/mmm (No. 123)
One atom of each set of equivalent atoms:
Rb  0.0000  0.0000  0.0000 x1  8 Na 3.91, 4 Tl 4.04
Na  0.0000  0.5000  0.5000 x2  2 Pd 2.86
Tl  0.5000  0.5000  0.0000 x1  2 Pd 2.67
Pd  0.5000  0.5000  0.5000 x1  2 Tl 2.67, 4 Na 2.86

Results
Energy above the lowest structure with this stoichiometry (meV per atom): 0

=====

Entry 14:
## Rb2NaTlPd (GGA-PBE)

Data for a relaxed Rb2NaTlPd crystal.

Cell: 6.6541 6.6541 5.0754 Å, 90.00 90.00 90.00°
Closest atoms and distances in Å follow each position.
Space group P4/mmm (No. 123)
One atom of each set of equivalent atoms:
Rb  0.0000  0.5000  0.0000 x2  2 Na 3.33
Na  0.0000  0.0000  0.0000 x1  2 Pd 2.54
Tl  0.5000  0.5000  0.5000 x1  8 Rb 4.18
Pd  0.0000  0.0000  0.5000 x1  2 Na 2.54

Results
Energy above the lowest structure with this stoichiometry (meV per atom): 317

=====

Entry 15:
## RbNa2TlPd (GGA-PBE)

Data for a relaxed RbNa2TlPd crystal.

Cell: 5.9015 5.9015 5.3234 Å, 90.00 90.00 90.00°
Closest atoms and distances in Å follow each position.
Space group P4/mmm (No. 123)
One atom of each set of equivalent atoms:
Rb  0.0000  0.0000  0.0000 x1  8 Na 3.97, 4 Pd 4.17
Na  0.0000  0.5000  0.5000 x2  2 Tl 2.95
Tl  0.5000  0.5000  0.5000 x1  2 Pd 2.66, 4 Na 2.95
Pd  0.5000  0.5000  0.0000 x1  2 Tl 2.66

Results
Energy above the lowest structure with this stoichiometry (meV per atom): 188

=====

Entry 16:
## Rb2NaTlPd (GGA-PBE)

Data for a relaxed Rb2NaTlPd crystal.

Cell: 6.5281 6.5281 5.4059 Å, 90.00 90.00 90.00°
Closest atoms and distances in Å follow each position.
Space group P4/mmm (No. 123)
One atom of each set of equivalent atoms:
Rb  0.0000  0.5000  0.0000 x2  2 Pd 3.26
Na  0.0000  0.0000  0.5000 x1  8 Rb 4.24, 4 Tl 4.62
Tl  0.5000  0.5000  0.5000 x1  2 Pd 2.70
Pd  0.5000  0.5000  0.0000 x1  2 Tl 2.70

Results
Energy above the lowest structure with this stoichiometry (meV per atom): 0

=====

Entry 17:
## RbNaTlPd (GGA-PBE)

Data for a relaxed RbNaTlPd crystal.

Cell: 8.3379 4.8388 7.4157 Å, 90.00 112.01 90.00°
Closest atoms and distances in Å follow each position.
Space group Cm (No. 8)
One atom of each set of equivalent atoms:
Rb  0.0000  0.0000  0.0000 x2  3 Tl 3.73, 3 Pd 3.85-3.87, 4 Na 3.98-4.02
Na  0.1930  0.0000  0.5796 x2  3 Pd 3.07-3.09, 3 Tl 3.16-3.17
Tl  0.2867  0.5000  0.3613 x2  3 Pd 2.79
Pd  0.4621  0.0000  0.3885 x2  3 Tl 2.79, 3 Na 3.07-3.09

Results
E (eV per atom): -2.565

=====

Entry 18:
## RbNa2YPd (GGA-PBE)

Data for a relaxed RbNa2YPd crystal.

Cell: 6.3018 6.3018 7.1970 Å, 90.00 90.00 90.00°
Closest atoms and distances in Å follow each position.
Space group P4/mmm (No. 123)
One atom of each set of equivalent atoms:
Rb  0.0000  0.0000  0.0000 x1  2 Y 3.60
Na  0.0000  0.5000  0.5000 x2  2 Y 3.15
Y  0.0000  0.0000  0.5000 x1  4 Na 3.15
Pd  0.5000  0.5000  0.0000 x1  4 Rb 4.46, 8 Na 4.78

Results
E (eV per atom): -1.772

=====

Entry 19:
## Na3RePd (GGA-PBE)

Data for a relaxed Na3RePd crystal.

Cell: 5.6676 5.6676 5.6676 Å, 90.00 90.00 90.00°
Closest atoms and distances in Å follow each position.
Space group Pm-3m (No. 221)
One atom of each set of equivalent atoms:
Na  0.0000  0.0000  0.5000 x3  2 Re 2.83
Re  0.0000  0.0000  0.0000 x1  6 Na 2.83
Pd  0.5000  0.5000  0.5000 x1  12 Na 4.01

Results
Energy above the lowest structure with this stoichiometry (meV per atom): 365

=====

Entry 20:
## NaRePd2 (GGA-PBE)

Data for a relaxed NaRePd2 crystal.

Cell: 7.2351 7.2351 5.7416 Å, 90.00 90.00 90.00°
Closest atoms and distances in Å follow each position.
Space group I-42d (No. 122)
One atom of each set of equivalent atoms:
Na  0.0000  0.0000  0.0000 x4  4 Pd 2.80, 2 Re 2.87
Re  0.0000  0.0000  0.5000 x4  4 Pd 2.52
Pd  0.2208  0.2500  0.6250 x8  2 Re 2.52, 2 Na 2.80

Results
E (eV per atom): -5.170

=====

Entry 21:
## NaRe3Pd (GGA-PBE)

Data for a relaxed NaRe3Pd crystal.

Cell: 4.7724 4.7724 4.7724 Å, 90.00 90.00 90.00°
Closest atoms and distances in Å follow each position.
Space group Pm-3m (No. 221)
One atom of each set of equivalent atoms:
Na  0.0000  0.0000  0.0000 x1  12 Re 3.37
Re  0.0000  0.5000  0.5000 x3  2 Pd 2.39
Pd  0.5000  0.5000  0.5000 x1  6 Re 2.39

Results
Energy above the lowest structure with this stoichiometry (meV per atom): 0

=====

Entry 22:
## NaRe3Pd (GGA-PBE)

Data for a relaxed NaRe3Pd crystal.

Cell: 4.4174 4.4174 4.4174 Å, 90.00 90.00 90.00°
Closest atoms and distances in Å follow each position.
Space group Pm-3m (No. 221)
One atom of each set of equivalent atoms:
Na  0.0000  0.0000  0.0000 x1  6 Re 2.21
Re  0.0000  0.0000  0.5000 x3  2 Na 2.21
Pd  0.5000  0.5000  0.5000 x1  12 Re 3.12

Results
Energy above the lowest structure with this stoichiometry (meV per atom): 467

=====

Entry 23:
## NaRe2Pd (GGA-PBE)

Data for a relaxed NaRe2Pd crystal.

Cell: 6.2921 6.2921 6.2921 Å, 90.00 90.00 90.00°
Closest atoms and distances in Å follow each position.
Space group Fm-3m (No. 225)
One atom of each set of equivalent atoms:
Na  0.0000  0.0000  0.0000 x4  8 Re 2.72
Re  0.2500  0.2500  0.2500 x8  4 Na 2.72, 4 Pd 2.72
Pd  0.0000  0.0000  0.5000 x4  8 Re 2.72

Results
Energy above the lowest structure with this stoichiometry (meV per atom): 33

=====

Entry 24:
## NaRe2Pd (GGA-PBE)

Data for a relaxed NaRe2Pd crystal.

Cell: 7.7208 7.7208 4.8592 Å, 90.00 90.00 90.00°
Closest atoms and distances in Å follow each position.
Space group I-42d (No. 122)
One atom of each set of equivalent atoms:
Na  0.0000  0.0000  0.0000 x4  2 Pd 2.43
Re  0.2052  0.2500  0.6250 x8  2 Re 2.53, 2 Pd 2.57
Pd  0.0000  0.0000  0.5000 x4  2 Na 2.43, 4 Re 2.57

Results
Energy above the lowest structure with this stoichiometry (meV per atom): 0

=====

Entry 25:
## Na3RePd (GGA-PBE)

Data for a relaxed Na3RePd crystal.

Cell: 5.3210 5.3210 5.3210 Å, 90.00 90.00 90.00°
Closest atoms and distances in Å follow each position.
Space group Pm-3m (No. 221)
One atom of each set of equivalent atoms:
Na  0.0000  0.0000  0.5000 x3  2 Pd 2.66
Re  0.5000  0.5000  0.5000 x1  12 Na 3.76
Pd  0.0000  0.0000  0.0000 x1  6 Na 2.66

Results
Energy above the lowest structure with this stoichiometry (meV per atom): 0

=====

Entry 26:
## Na2RePdS (GGA-PBE)

Data for a relaxed Na2RePdS crystal.

Cell: 4.9484 4.9484 4.4038 Å, 90.00 90.00 90.00°
Closest atoms and distances in Å follow each position.
Space group P4/mmm (No. 123)
One atom of each set of equivalent atoms:
Na  0.0000  0.5000  0.0000 x2  2 S 2.47
Re  0.0000  0.0000  0.5000 x1  2 S 2.20
Pd  0.5000  0.5000  0.5000 x1  8 Na 3.31, 4 Re 3.50
S  0.0000  0.0000  0.0000 x1  2 Re 2.20

Results
E (eV per atom): -4.396

=====

Entry 27:
## NaSc2RePd (GGA-PBE)

Data for a relaxed NaSc2RePd crystal.

Cell: 4.9195 4.9195 5.2423 Å, 90.00 90.00 90.00°
Closest atoms and distances in Å follow each position.
Space group P4/mmm (No. 123)
One atom of each set of equivalent atoms:
Na  0.0000  0.0000  0.0000 x1  2 Re 2.62
Sc  0.0000  0.5000  0.5000 x2  2 Re 2.46
Re  0.0000  0.0000  0.5000 x1  4 Sc 2.46, 2 Na 2.62
Pd  0.5000  0.5000  0.0000 x1  4 Na 3.48, 8 Sc 3.59

Results
E (eV per atom): -5.527

=====

Entry 28:
## NaRe2PdSe (GGA-PBE)

Data for a relaxed NaRe2PdSe crystal.

Cell: 4.6155 4.6155 4.8219 Å, 90.00 90.00 90.00°
Closest atoms and distances in Å follow each position.
Space group P4/mmm (No. 123)
One atom of each set of equivalent atoms:
Na  0.0000  0.0000  0.0000 x1  4 Pd 3.26, 8 Re 3.34
Re  0.0000  0.5000  0.5000 x2  2 Se 2.31
Pd  0.5000  0.5000  0.0000 x1  2 Se 2.41
Se  0.5000  0.5000  0.5000 x1  4 Re 2.31, 2 Pd 2.41

Results
E (eV per atom): -5.711

=====

no.,total magnetization (μB per cell),Fermi-level density of states (states/eV per cell)
1,0.00,0.81
2,3.97,19.63
3,0.00,1.91
4,0.00,2.96
5,0.00,4.31
6,0.00,2.63
7,0.00,3.49
8,0.00,2.81
9,0.00,2.40
10,1.90,6.16
11,2.90,3.42
12,0.00,29.64
13,0.00,2.22
14,0.00,2.75
15,0.00,3.49
16,0.00,3.60
17,0.00,4.14
18,1.88,5.03
19,3.88,8.53
20,10.88,15.78
21,0.75,6.51
22,1.63,4.12
23,5.47,22.98
24,0.00,13.98
25,4.12,3.73
26,1.35,2.47
27,0.00,8.14
28,2.32,6.60